# 1
Density functional theory data (PBE-GGA) for a relaxed Co2Re crystal.

Cell lengths 4.1141, 4.1141, 2.6538 Å; angles 90.00, 90.00, 90.00 degrees
Fractional positions:
Co (0.0000, 0.5000, 0.5000)
Re (0.0000, 0.0000, 0.0000)
Co (0.5000, 0.0000, 0.5000)

Values from the calculation:
- ΔH_f (0 K): 2.5 eV per formula unit
- SG: P4/mmm, No. 123
- Excess energy over the best structure of this formula in the dataset: 0.8919 eV per atom

# 2
Density functional theory data (PBE-GGA) for a relaxed SrAc2Nd crystal.

Cell lengths 3.8976, 3.8976, 13.9756 Å; angles 81.98, 81.98, 60.00 degrees
Fractional positions:
Ac (0.9072, 0.9072, 0.2785)
Ac (0.0928, 0.0928, 0.7215)
Nd (0.5000, 0.5000, 0.5000)
Sr (0.0000, 0.0000, 0.0000)

Values from the calculation:
- ΔH_f (0 K): 0.6 eV per formula unit
- SG: R-3m, No. 166
- Excess energy over the best structure of this formula in the dataset: 0.0959 eV per atom